1.
A relaxed structure of MnAl8Ga2. Source: the Alexandria database, functional PBE-GGA.

The value obtained for the formation energy is 28 meV/atom. The total magnetization is 0.924 μB per formula unit. The energy comes out at -0.150 hartree per atom.

The structure belongs to space group C2/m (No. 12); the cell edges are 16.167, 4.188 and 5.676 Å and the angles 90.00°, 102.50° and 90.00°. Symmetry generates all atoms from Mn at (0.000, 0.000, 0.000), Al at (0.006, 0.500, 0.248), Al at (0.116, 0.000, 0.792), Al at (0.131, 0.000, 0.306), Al at (0.206, 0.500, 0.099) and Ga at (0.193, 0.500, 0.604).

***

2.
A relaxed structure of BaSc2TiPt. Source: the Alexandria database, functional PBE-GGA.

The value obtained for the formation energy is 244 meV/atom. The total magnetization is 3.214 μB per formula unit. The energy comes out at -0.201 hartree per atom.

The structure belongs to space group P4/mmm (No. 123); the cell edges are 5.163, 5.163 and 5.992 Å and the angles 90.00°, 90.00° and 90.00°. Symmetry generates all atoms from Ba at (0.000, 0.000, 0.000), Sc at (0.000, 0.500, 0.500), Ti at (0.500, 0.500, 0.000) and Pt at (0.000, 0.000, 0.500).